Material: Pr8PSe6
Method: DFT, PBE
State: optimized geometry

Geometry as POSCAR:
```
Pr8PSe6
1.0
10.644 0.000 0.000
-5.322 9.218 0.000
0.000 0.000 4.353
Pr P Se
8 1 6
Cartesian
-1.309 2.817 1.138
-2.228 8.943 1.138
1.785 2.542 3.216
0.000 6.145 3.249
5.322 3.073 1.104
3.537 6.676 1.138
7.550 0.275 3.216
6.631 6.401 3.216
0.000 0.000 2.177
-2.097 5.970 1.072
1.201 4.417 1.072
4.425 1.169 3.282
0.897 8.050 1.072
4.121 4.801 3.282
7.419 3.248 3.282
```

volume: 427.15 Å³/f.u.
formation energy (no corrections): -131.89 kJ per mole of atoms
ρ: 6.34 g cm⁻³
total magnetic moment: 0.0 μB per formula unit
symmetry: P-3 (147)
crystal system: trigonal

Material: CrTcCl
Method: DFT, PBE
State: optimized geometry

Geometry as POSCAR:
```
CrTcCl
1.0
5.856 0.000 0.000
0.000 5.856 0.000
0.000 0.000 5.856
Cr Tc Cl
4 4 4
Cartesian
0.000 0.000 0.000
0.000 2.928 2.928
2.928 0.000 2.928
2.928 2.928 0.000
1.464 1.464 4.392
1.464 4.392 1.464
4.392 1.464 1.464
4.392 4.392 4.392
0.000 0.000 2.928
0.000 2.928 0.000
2.928 0.000 0.000
2.928 2.928 2.928
```

volume: 50.20 Å³/f.u.
formation energy (no corrections): 76.92 kJ per mole of atoms
ρ: 6.13 g cm⁻³
total magnetic moment: 1.7 μB per formula unit
energy relative to the lowest polymorph listed for this composition: 58.6 kJ/mol of atoms
symmetry: F-43m (216)
crystal system: cubic